No. 1
Material: PuGaHgBi
Method: DFT, PBE
State: relaxed

The calculation puts the formation energy from the elements at -0.08 eV/atom. The calculated volume is 107.5 Å³ per cell. For the calculated total energy, the calculation gives -5.46 eV/atom. As for the mass density: 11.17 g cm⁻³.

Unit cell a=5.338 b=5.338 c=5.338 alpha=60.00 beta=60.00 gamma=60.00
Fractional coordinates of all 4 atoms:
1 Pu 0.000 0.000 0.000
2 Ga 0.500 0.500 0.500
3 Hg 0.250 0.250 0.250
4 Bi 0.750 0.750 0.750

No. 2
Material: NbTl2Se
Method: DFT, PBE
State: relaxed

The calculated volume is 204.1 Å³ per cell. Its uncorrected formation energy is 2.167 eV per formula unit. For the calculated total energy, the calculation gives -4.03 eV/atom. As for the mass density: 9.45 g cm⁻³.

Unit cell a=6.568 b=6.568 c=6.568 alpha=101.86 beta=101.86 gamma=126.08
Fractional coordinates of all 8 atoms:
1 Nb 0.000 0.000 0.000
2 Nb 0.750 0.250 0.500
3 Tl 0.119 0.625 0.994
4 Tl 0.375 0.369 0.494
5 Tl 0.631 0.125 0.006
6 Tl 0.875 0.881 0.506
7 Se 0.250 0.750 0.500
8 Se 0.500 0.500 0.000

No. 3
Material: NaBiBr5
Method: DFT, PBE
State: relaxed

The calculated volume is 529.6 Å³ per cell. Its uncorrected formation energy is -4.998 eV per formula unit. For the calculated total energy, the calculation gives -2.65 eV/atom. As for the mass density: 3.96 g cm⁻³.

Unit cell a=7.371 b=7.371 c=11.785 alpha=112.92 beta=112.92 gamma=70.09
Fractional coordinates of all 14 atoms:
1 Na 0.125 0.875 0.750
2 Na 0.875 0.125 0.250
3 Bi 0.500 0.500 0.000
4 Bi 0.500 0.500 0.500
5 Br 0.147 0.806 0.486
6 Br 0.194 0.853 0.014
7 Br 0.195 0.288 0.873
8 Br 0.288 0.195 0.373
9 Br 0.475 0.525 0.750
10 Br 0.525 0.475 0.250
11 Br 0.712 0.805 0.627
12 Br 0.805 0.712 0.127
13 Br 0.806 0.147 0.986
14 Br 0.853 0.194 0.514

No. 4
Material: TbGdRh
Method: DFT, PBE
State: relaxed

The calculation puts the formation energy from the elements at -0.40 eV/atom. The calculated volume is 74.9 Å³ per cell. For the calculated total energy, the calculation gives -9.08 eV/atom. As for the mass density: 9.30 g cm⁻³.

Unit cell a=4.554 b=4.554 c=4.168 alpha=90.00 beta=90.00 gamma=120.00
Fractional coordinates of all 3 atoms:
1 Tb 0.000 0.000 0.000
2 Gd 0.333 0.667 0.535
3 Rh 0.667 0.333 0.262

No. 5
Material: NaCdAg
Method: DFT, PBE
State: relaxed

The calculation puts the formation energy from the elements at 0.01 eV/atom. The calculated volume is 133.7 Å³ per cell. For the calculated total energy, the calculation gives -1.69 eV/atom. As for the mass density: 6.04 g cm⁻³.

Unit cell a=5.797 b=5.797 c=5.280 alpha=107.42 beta=107.42 gamma=114.92
Fractional coordinates of all 6 atoms:
1 Na 0.193 0.193 0.320
2 Na 0.807 0.807 0.680
3 Cd 0.238 0.762 0.500
4 Cd 0.595 0.405 0.000
5 Ag 0.030 0.430 0.810
6 Ag 0.570 0.970 0.190

No. 6
Material: AgSbAu4
Method: DFT, PBE
State: relaxed

The calculated volume is 122.3 Å³ per cell. Its uncorrected formation energy is 0.523 eV per formula unit. For the calculated total energy, the calculation gives -3.26 eV/atom. As for the mass density: 13.81 g cm⁻³.

Unit cell a=5.572 b=5.572 c=5.572 alpha=60.00 beta=60.00 gamma=60.00
Fractional coordinates of all 6 atoms:
1 Ag 0.000 0.000 0.000
2 Sb 0.250 0.250 0.250
3 Au 0.124 0.625 0.625
4 Au 0.625 0.124 0.625
5 Au 0.625 0.625 0.124
6 Au 0.625 0.625 0.625

No. 7
Material: BaCrBr
Method: DFT, PBE
State: relaxed

The calculated volume is 116.8 Å³ per cell. Its uncorrected formation energy is 0.412 eV per formula unit. For the calculated total energy, the calculation gives -4.27 eV/atom. As for the mass density: 3.83 g cm⁻³.

Unit cell a=5.487 b=5.487 c=5.487 alpha=60.00 beta=60.00 gamma=60.00
Fractional coordinates of all 3 atoms:
1 Ba 0.000 0.000 0.000
2 Cr 0.750 0.750 0.750
3 Br 0.500 0.500 0.500

No. 8
Material: Li3BrO
Method: DFT, PBE
State: relaxed

The calculated volume is 146.2 Å³ per cell. Its uncorrected formation energy is -8.271 eV per formula unit. For the calculated total energy, the calculation gives -4.13 eV/atom. As for the mass density: 2.65 g cm⁻³.

Unit cell a=5.876 b=5.876 c=7.034 alpha=97.22 beta=97.22 gamma=37.40
Fractional coordinates of all 10 atoms:
1 Li 0.045 0.045 0.148
2 Li 0.153 0.153 0.665
3 Li 0.316 0.316 0.022
4 Li 0.684 0.684 0.978
5 Li 0.847 0.847 0.335
6 Li 0.955 0.955 0.852
7 Br 0.377 0.377 0.624
8 Br 0.623 0.623 0.376
9 O 0.132 0.132 0.925
10 O 0.868 0.868 0.075

No. 9
Material: RbReOs2Br
Method: DFT, PBE
State: relaxed

The calculated volume is 135.0 Å³ per cell. Its uncorrected formation energy is 21.220 eV per formula unit. For the calculated total energy, the calculation gives -3.27 eV/atom. As for the mass density: 9.00 g cm⁻³.

Unit cell a=4.985 b=4.985 c=5.434 alpha=90.00 beta=90.00 gamma=90.00
Fractional coordinates of all 5 atoms:
1 Rb 0.000 0.000 0.000
2 Re 0.000 0.000 0.500
3 Os 0.000 0.500 0.000
4 Os 0.500 0.000 0.000
5 Br 0.500 0.500 0.500

No. 10
Material: CuTeMo2
Method: DFT, PBE
State: relaxed

The calculated volume is 66.5 Å³ per cell. Its uncorrected formation energy is 2.291 eV per formula unit. For the calculated total energy, the calculation gives -6.65 eV/atom. As for the mass density: 9.57 g cm⁻³.

Unit cell a=3.870 b=3.870 c=4.439 alpha=90.00 beta=90.00 gamma=90.00
Fractional coordinates of all 4 atoms:
1 Cu 0.000 0.000 0.000
2 Te 0.500 0.500 0.000
3 Mo 0.000 0.500 0.500
4 Mo 0.500 0.000 0.500

No. 11
Material: Pr4Nd3PuTe8
Method: DFT, PBE
State: relaxed

The calculated volume is 518.2 Å³ per cell. Its uncorrected formation energy is -22.352 eV per formula unit. For the calculated total energy, the calculation gives -5.95 eV/atom. As for the mass density: 7.25 g cm⁻³.

Unit cell a=9.022 b=9.022 c=9.022 alpha=59.92 beta=59.92 gamma=59.92
Fractional coordinates of all 16 atoms:
1 Pr 0.000 0.000 0.000
2 Pr 0.000 0.500 0.500
3 Pr 0.500 0.000 0.500
4 Pr 0.500 0.500 0.000
5 Nd 0.000 0.000 0.500
6 Nd 0.000 0.500 0.000
7 Nd 0.500 0.000 0.000
8 Pu 0.500 0.500 0.500
9 Te 0.249 0.249 0.249
10 Te 0.251 0.747 0.747
11 Te 0.253 0.253 0.749
12 Te 0.253 0.749 0.253
13 Te 0.747 0.251 0.747
14 Te 0.747 0.747 0.251
15 Te 0.749 0.253 0.253
16 Te 0.751 0.751 0.751

No. 12
Material: In2OsN2
Method: DFT, PBE
State: relaxed

The calculated volume is 80.6 Å³ per cell. Its uncorrected formation energy is 2.591 eV per formula unit. For the calculated total energy, the calculation gives -6.15 eV/atom. As for the mass density: 9.23 g cm⁻³.

Unit cell a=4.718 b=4.718 c=4.718 alpha=107.59 beta=107.59 gamma=113.30
Fractional coordinates of all 5 atoms:
1 In 0.250 0.750 0.500
2 In 0.750 0.250 0.500
3 Os 0.000 0.000 0.000
4 N 0.386 0.386 0.000
5 N 0.614 0.614 0.000

No. 13
Material: Rb2CrIn
Method: DFT, PBE
State: relaxed

The calculation puts the formation energy from the elements at 0.60 eV/atom. The calculated volume is 458.3 Å³ per cell. For the calculated total energy, the calculation gives -2.97 eV/atom. As for the mass density: 2.45 g cm⁻³.

Unit cell a=9.605 b=9.605 c=9.605 alpha=94.52 beta=94.52 gamma=147.39
Fractional coordinates of all 8 atoms:
1 Rb 0.375 0.215 0.340
2 Rb 0.785 0.125 0.160
3 Rb 0.875 0.035 0.660
4 Rb 0.965 0.625 0.840
5 Cr 0.000 0.000 0.000
6 Cr 0.750 0.250 0.500
7 In 0.250 0.750 0.500
8 In 0.500 0.500 0.000

No. 14
Material: Zr2TaCo
Method: DFT, PBE
State: relaxed

The calculation puts the formation energy from the elements at -0.01 eV/atom. The calculated volume is 74.4 Å³ per cell. For the calculated total energy, the calculation gives -9.02 eV/atom. As for the mass density: 9.43 g cm⁻³.

Unit cell a=5.609 b=5.609 c=5.609 alpha=146.88 beta=128.82 gamma=62.33
Fractional coordinates of all 4 atoms:
1 Zr 0.000 0.000 0.000
2 Zr 0.722 0.222 0.500
3 Ta 0.449 0.449 0.000
4 Co 0.239 0.739 0.500

No. 15
Material: Na3PmF7
Method: DFT, PBE
State: relaxed

The calculated volume is 164.5 Å³ per cell. Its uncorrected formation energy is -32.524 eV per formula unit. For the calculated total energy, the calculation gives -4.94 eV/atom. As for the mass density: 3.50 g cm⁻³.

Unit cell a=5.810 b=5.810 c=6.365 alpha=117.44 beta=117.44 gamma=88.42
Fractional coordinates of all 11 atoms:
1 Na 0.000 0.000 0.000
2 Na 0.171 0.729 0.448
3 Na 0.729 0.171 0.448
4 Pm 0.453 0.453 0.890
5 F 0.059 0.593 0.707
6 F 0.136 0.136 0.779
7 F 0.348 0.789 0.200
8 F 0.405 0.405 0.499
9 F 0.593 0.059 0.707
10 F 0.789 0.348 0.200
11 F 0.807 0.807 0.141

No. 16
Material: La2PbCl8
Method: DFT, PBE
State: relaxed

The calculated volume is 353.8 Å³ per cell. Its uncorrected formation energy is -22.386 eV per formula unit. For the calculated total energy, the calculation gives -4.61 eV/atom. As for the mass density: 3.61 g cm⁻³.

Unit cell a=10.915 b=10.915 c=7.909 alpha=94.69 beta=94.69 gamma=22.14
Fractional coordinates of all 11 atoms:
1 La 0.161 0.161 0.338
2 La 0.839 0.839 0.662
3 Pb 0.500 0.500 0.000
4 Cl 0.023 0.023 0.251
5 Cl 0.240 0.240 0.668
6 Cl 0.363 0.363 0.930
7 Cl 0.386 0.386 0.474
8 Cl 0.614 0.614 0.526
9 Cl 0.637 0.637 0.070
10 Cl 0.760 0.760 0.332
11 Cl 0.977 0.977 0.749

No. 17
Material: SmMgPtRh
Method: DFT, PBE
State: relaxed

The calculation puts the formation energy from the elements at -0.77 eV/atom. The calculated volume is 76.4 Å³ per cell. For the calculated total energy, the calculation gives -5.69 eV/atom. As for the mass density: 10.27 g cm⁻³.

Unit cell a=4.763 b=4.763 c=4.763 alpha=60.00 beta=60.00 gamma=60.00
Fractional coordinates of all 4 atoms:
1 Sm 0.000 0.000 0.000
2 Mg 0.500 0.500 0.500
3 Pt 0.250 0.250 0.250
4 Rh 0.750 0.750 0.750

No. 18
Material: CuAg2SbSe4
Method: DFT, PBE
State: relaxed

The calculated volume is 213.2 Å³ per cell. Its uncorrected formation energy is -0.995 eV per formula unit. For the calculated total energy, the calculation gives -3.61 eV/atom. As for the mass density: 5.58 g cm⁻³.

Unit cell a=7.494 b=7.494 c=7.494 alpha=134.14 beta=134.14 gamma=66.86
Fractional coordinates of all 8 atoms:
1 Cu 0.000 0.000 0.000
2 Ag 0.250 0.750 0.500
3 Ag 0.750 0.250 0.500
4 Sb 0.500 0.500 0.000
5 Se 0.118 0.647 0.000
6 Se 0.353 0.353 0.472
7 Se 0.647 0.118 0.000
8 Se 0.882 0.882 0.528

No. 19
Material: TiMn2Zn
Method: DFT, PBE
State: relaxed

The calculation puts the formation energy from the elements at -0.07 eV/atom. The calculated volume is 53.6 Å³ per cell. For the calculated total energy, the calculation gives -6.95 eV/atom. As for the mass density: 6.91 g cm⁻³.

Unit cell a=3.996 b=3.996 c=3.357 alpha=90.00 beta=90.00 gamma=90.00
Fractional coordinates of all 4 atoms:
1 Ti 0.000 0.000 0.000
2 Mn 0.000 0.500 0.500
3 Mn 0.500 0.000 0.500
4 Zn 0.500 0.500 0.000

no.,total magnetization (μB per formula unit)
1,5.9
2,2.6
3,0.0
4,7.3
5,0.0
6,0.0
7,5.3
8,0.0
9,8.7
10,0.0
11,6.0
12,0.0
13,4.2
14,1.1
15,1.0
16,0.0
17,0.0
18,0.0
19,3.7